A plane-wave DFT calculation with PBE+U was carried out for crystalline Pm6CrO12 at its relaxed geometry.

Cell lengths 6.6157, 6.6157, 6.6157 Å; angles 98.49, 98.49, 98.49 degrees
Last column: nearest neighbours and their distance in Å.
Element x y z (fractional)
Pm 0.1116 0.6397 0.7954  6 O 2.28-2.47
Pm 0.2046 0.8884 0.3603  6 O 2.28-2.47
Pm 0.3603 0.2046 0.8884  6 O 2.28-2.47
Pm 0.6397 0.7954 0.1116  6 O 2.28-2.47
Pm 0.7954 0.1116 0.6397  6 O 2.28-2.47
Pm 0.8884 0.3603 0.2046  6 O 2.28-2.47
Cr 0.5000 0.5000 0.5000  6 O 1.95
O 0.0554 0.3226 0.9092  4 Pm 2.28-2.39
O 0.0908 0.9446 0.6774  4 Pm 2.28-2.39
O 0.2117 0.5340 0.4356  1 Cr 1.95
O 0.3226 0.9092 0.0554  4 Pm 2.28-2.39
O 0.4356 0.2117 0.5340  1 Cr 1.95
O 0.4660 0.5644 0.7883  1 Cr 1.95
O 0.5340 0.4356 0.2117  1 Cr 1.95
O 0.5644 0.7883 0.4660  1 Cr 1.95
O 0.6774 0.0908 0.9446  4 Pm 2.28-2.39
O 0.7883 0.4660 0.5644  1 Cr 1.95
O 0.9092 0.0554 0.3226  4 Pm 2.28-2.39
O 0.9446 0.6774 0.0908  4 Pm 2.28-2.39

Properties
uncorrected energy: -150.46 eV per cell
DOS at the Fermi energy: 0.5008 states/eV/atom
space-group type: R-3